Record 1
# MnCd4Mo

An optimized crystal structure of MnCd4Mo (GGA-PBE, Alexandria via LeMat-Bulk).

- ΔH_f (0 K) (meV/atom) = 595
- M_tot (μB/atom) = 0.168
- symmetry = No. 216

a = 5.5575 Å, b = 5.5575 Å, c = 5.5575 Å
α = 60.00°, β = 60.00°, γ = 60.00°
Closest atoms and distances in Å follow each position.
Atoms (fractional coordinates):
Cd (0.3749, 0.3749, 0.8753)  6 Cd 2.78
Cd (0.3749, 0.8753, 0.3749)  6 Cd 2.78
Cd (0.3749, 0.3749, 0.3749)  6 Cd 2.78
Cd (0.8753, 0.3749, 0.3749)  6 Cd 2.78
Mn (0.7500, 0.7500, 0.7500)  12 Cd 3.26, 4 Mo 3.40
Mo (0.0000, 0.0000, 0.0000)  12 Cd 3.26, 4 Mn 3.40

Record 2
# VCdAu

An optimized crystal structure of VCdAu (GGA-PBE, Alexandria via LeMat-Bulk).

- ΔH_f (0 K) (meV/atom) = 297
- offset from the most stable computed form (eV/f.u.) = 0.96
- M_tot (μB/atom) = 0.000
- symmetry = No. 69

a = 5.4328 Å, b = 4.3916 Å, c = 6.7411 Å
α = 75.57°, β = 66.24°, γ = 51.79°
Closest atoms and distances in Å follow each position.
Atoms (fractional coordinates):
Cd (0.2500, 0.5000, 0.5000)  2 Cd 2.72, 4 Au 2.81
Cd (0.7500, 0.5000, 0.5000)  2 Cd 2.72, 4 Au 2.81
Au (0.6076, 0.0000, 0.7848)  1 Au 2.66, 4 Cd 2.81, 2 V 2.85
Au (0.3924, 0.0000, 0.2152)  1 Au 2.66, 4 Cd 2.81, 2 V 2.85
V (0.8653, 0.2694, 0.0000)  1 V 1.86
V (0.1347, 0.7306, 0.0000)  1 V 1.86

Record 3
# TlCd2In7

An optimized crystal structure of TlCd2In7 (GGA-PBE, Alexandria via LeMat-Bulk).

- ΔH_f (0 K) (meV/atom) = 123
- M_tot (μB/atom) = 0.000
- symmetry = No. 65

a = 4.1801 Å, b = 10.4728 Å, c = 10.4728 Å
α = 138.90°, β = 90.00°, γ = 90.00°
Closest atoms and distances in Å follow each position.
Atoms (fractional coordinates):
In (0.5000, 0.0835, 0.3213)  4 In 2.98-3.20, 2 Cd 3.05-3.31
In (0.5000, 0.3213, 0.0835)  4 In 2.98-3.20, 2 Cd 3.05-3.31
In (0.5000, 0.6787, 0.9165)  4 In 2.98-3.20, 2 Cd 3.05-3.31
In (0.5000, 0.5000, 0.5000)  8 In 3.20-3.30
In (0.0000, 0.6305, 0.3695)  6 In 3.03-3.30, 2 Cd 3.07
In (0.0000, 0.3695, 0.6305)  6 In 3.03-3.30, 2 Cd 3.07
In (0.5000, 0.9165, 0.6787)  4 In 2.98-3.20, 2 Cd 3.05-3.31
Cd (0.5000, 0.2545, 0.7455)  6 In 3.05-3.31
Cd (0.5000, 0.7455, 0.2545)  6 In 3.05-3.31
Tl (0.0000, 0.0000, 0.0000)  8 In 3.47

Record 4
# Ac2DyRh3O12

An optimized crystal structure of Ac2DyRh3O12 (GGA-PBE, Alexandria via LeMat-Bulk).

- M_tot (μB/atom) = 0.316
- symmetry = No. 166
- electronic total energy (eV per formula unit) = -124.8

a = 6.7666 Å, b = 6.7666 Å, c = 6.7666 Å
α = 64.09°, β = 64.09°, γ = 64.09°
Closest atoms and distances in Å follow each position.
Atoms (fractional coordinates):
O (0.8547, 0.4319, 0.8547)  1 Rh 1.94
O (0.1453, 0.5681, 0.1453)  1 Rh 1.94
O (0.8615, 0.2736, 0.2736)  2 Rh 1.98
O (0.2736, 0.2736, 0.8615)  2 Rh 1.98
O (0.4319, 0.8547, 0.8547)  1 Rh 1.94
O (0.2736, 0.8615, 0.2736)  2 Rh 1.98
O (0.1385, 0.7264, 0.7264)  2 Rh 1.98
O (0.7264, 0.7264, 0.1385)  2 Rh 1.98
O (0.1453, 0.1453, 0.5681)  1 Rh 1.94
O (0.5681, 0.1453, 0.1453)  1 Rh 1.94
O (0.8547, 0.8547, 0.4319)  1 Rh 1.94
O (0.7264, 0.1385, 0.7264)  2 Rh 1.98
Ac (0.3865, 0.3865, 0.3865)  3 O 2.38
Ac (0.6135, 0.6135, 0.6135)  3 O 2.38
Dy (0.0000, 0.0000, 0.0000)  12 O 2.51-2.77
Rh (0.0000, 0.0000, 0.5000)  6 O 1.94-1.98
Rh (0.5000, 0.0000, 0.0000)  6 O 1.94-1.98
Rh (0.0000, 0.5000, 0.0000)  6 O 1.94-1.98

Record 5
# SmY2PuAs4

An optimized crystal structure of SmY2PuAs4 (GGA-PBE, Alexandria via LeMat-Bulk).

- ΔH_f (0 K) (meV/atom) = -1406
- M_tot (μB/atom) = 0.617
- symmetry = No. 10

a = 4.1568 Å, b = 7.1769 Å, c = 7.1848 Å
α = 70.52°, β = 90.00°, γ = 90.00°
Closest atoms and distances in Å follow each position.
Atoms (fractional coordinates):
As (0.5000, 0.2499, 0.7465)  3 Y 2.91-2.95, 2 Pu 2.93, 1 Sm 2.95
As (0.0000, 0.2472, 0.2544)  3 Y 2.91-2.94, 1 Pu 2.92, 2 Sm 2.96
As (0.5000, 0.7501, 0.2535)  3 Y 2.91-2.95, 2 Pu 2.93, 1 Sm 2.95
As (0.0000, 0.7528, 0.7456)  3 Y 2.91-2.94, 1 Pu 2.92, 2 Sm 2.96
Y (0.0000, 0.0000, 0.0000)  6 As 2.94-2.95
Y (0.5000, 0.0000, 0.5000)  6 As 2.91
Sm (0.5000, 0.5000, 0.0000)  6 As 2.95-2.96
Pu (0.0000, 0.5000, 0.5000)  6 As 2.92-2.93

Record 6
# ScCoPtC2

An optimized crystal structure of ScCoPtC2 (GGA-PBE, Alexandria via LeMat-Bulk).

- ΔH_f (0 K) (meV/atom) = 839
- M_tot (μB/atom) = 0.053
- symmetry = No. 123

a = 3.6954 Å, b = 5.0125 Å, c = 3.6954 Å
α = 90.00°, β = 90.00°, γ = 90.00°
Closest atoms and distances in Å follow each position.
Atoms (fractional coordinates):
C (0.5000, 0.0000, 0.0000)  2 Co 1.85
C (0.0000, 0.0000, 0.5000)  2 Co 1.85
Sc (0.5000, 0.5000, 0.5000)  4 Pt 2.61
Pt (0.0000, 0.5000, 0.0000)  2 Co 2.51, 4 Sc 2.61
Co (0.0000, 0.0000, 0.0000)  4 C 1.85